A plane-wave DFT calculation with GGA-PBE was carried out for Rh3PbF after structural relaxation.

Summary:
Symmetry: Pm-3m

Geometry as POSCAR:
```
Rh3PbF
1.0
5.1041 0.0000 0.0000
0.0000 5.1041 0.0000
0.0000 0.0000 5.1041
Rh F Pb
3 1 1
Direct
0.0000 0.0000 0.5000 Rh
0.0000 0.5000 0.0000 Rh
0.5000 0.0000 0.0000 Rh
0.5000 0.5000 0.5000 F
0.0000 0.0000 0.0000 Pb
```

=====

A plane-wave DFT calculation with GGA-PBE was carried out for Rh2PbF after structural relaxation.

Summary:
Symmetry: Fm-3m

Geometry as POSCAR:
```
Rh2PbF
1.0
1.6718 -4.1557 -0.2534
-0.8622 -2.9671 3.2531
-2.7290 -3.4712 -0.7954
Pb Rh F
1 2 1
Direct
0.5000 0.5000 0.5000 Pb
0.7500 0.7500 0.7500 Rh
0.2500 0.2500 0.2500 Rh
0.0000 0.0000 0.0000 F
```

=====

A plane-wave DFT calculation with GGA-PBE was carried out for Rh2PbF after structural relaxation.

Summary:
Symmetry: I-42d

Geometry as POSCAR:
```
Rh2PbF
1.0
3.6580 0.0000 0.0000
0.0000 3.6580 0.0000
1.8290 1.8290 10.5737
Rh Pb F
4 2 2
Direct
0.3750 0.3763 0.7500 Rh
0.1263 0.6250 0.2500 Rh
0.6237 0.1250 0.2500 Rh
0.8750 0.8737 0.7500 Rh
0.0000 0.0000 0.0000 Pb
0.7500 0.2500 0.5000 Pb
0.2500 0.7500 0.5000 F
0.5000 0.5000 0.0000 F
```

=====

A plane-wave DFT calculation with GGA-PBE was carried out for Tl2Rh3PbF12 after structural relaxation.

Summary:
Symmetry: R-3m

Geometry as POSCAR:
```
Tl2Rh3PbF12
1.0
-3.9921 4.2965 4.4701
2.0492 0.2462 7.0795
3.1747 6.2353 2.3283
F Rh Pb Tl
12 3 1 2
Direct
0.7268 0.7268 0.1138 F
0.8702 0.4169 0.8702 F
0.1138 0.7268 0.7268 F
0.1298 0.5831 0.1298 F
0.2732 0.8862 0.2732 F
0.8862 0.2732 0.2732 F
0.5831 0.1298 0.1298 F
0.1298 0.1298 0.5831 F
0.4169 0.8702 0.8702 F
0.8702 0.8702 0.4169 F
0.7268 0.1138 0.7268 F
0.2732 0.2732 0.8862 F
0.0000 0.0000 0.5000 Rh
0.5000 0.0000 0.0000 Rh
0.0000 0.5000 0.0000 Rh
0.0000 0.0000 0.0000 Pb
0.6215 0.6215 0.6215 Tl
0.3785 0.3785 0.3785 Tl
```

=====

A plane-wave DFT calculation with GGA-PBE was carried out for TlRhPbF6 after structural relaxation.

Summary:
Symmetry: P-31c

Geometry as POSCAR:
```
TlRhPbF6
1.0
6.1842 0.0000 0.0000
-3.0921 5.3557 0.0000
0.0000 0.0000 10.5982
F Rh Pb Tl
12 2 2 2
Direct
0.6018 0.6580 0.6446 F
0.3982 0.0562 0.1446 F
0.9438 0.6018 0.3554 F
0.3420 0.3982 0.8554 F
0.9438 0.3420 0.1446 F
0.0562 0.3982 0.6446 F
0.6580 0.6018 0.1446 F
0.6018 0.9438 0.8554 F
0.3982 0.3420 0.3554 F
0.0562 0.6580 0.8554 F
0.6580 0.0562 0.3554 F
0.3420 0.9438 0.6446 F
0.6667 0.3333 0.2500 Rh
0.3333 0.6667 0.7500 Rh
0.6667 0.3333 0.7500 Pb
0.3333 0.6667 0.2500 Pb
0.0000 0.0000 0.0000 Tl
0.0000 0.0000 0.5000 Tl
```

=====

A plane-wave DFT calculation with GGA-PBE was carried out for Tl2RhPbF6 after structural relaxation.

Summary:
Symmetry: Pmmn

Geometry as POSCAR:
```
Tl2RhPbF6
1.0
-0.0111 -4.8154 -3.7481
5.1097 2.6476 -3.4166
6.1568 -4.4793 5.7367
F Rh Tl Pb
12 2 4 2
Direct
0.0000 0.8048 0.2552 F
0.2439 0.0023 0.0000 F
0.7561 0.0023 0.0000 F
0.0000 0.8048 0.7448 F
0.2561 0.9977 0.5000 F
0.7439 0.9977 0.5000 F
0.7416 0.4319 0.5000 F
0.5000 0.1952 0.2448 F
0.2416 0.5681 0.0000 F
0.5000 0.1952 0.7552 F
0.2584 0.4319 0.5000 F
0.7584 0.5681 0.0000 F
0.0000 0.7837 0.0000 Rh
0.5000 0.2163 0.5000 Rh
0.5000 0.7997 0.2230 Tl
0.0000 0.2003 0.2770 Tl
0.5000 0.7997 0.7770 Tl
0.0000 0.2003 0.7230 Tl
0.0000 0.7112 0.5000 Pb
0.5000 0.2888 0.0000 Pb
```

=====

Number 1: total magnetic moment 2.75 μB/cell, E_form (uncorrected) 1.407 eV per atom. Number 2: total magnetic moment 0.00 μB/cell, E_form (uncorrected) -0.079 eV per atom. Number 3: total magnetic moment 2.77 μB/cell, E_form (uncorrected) -0.191 eV per atom. Number 4: total magnetic moment 1.04 μB/cell, E_form (uncorrected) -1.694 eV per atom. Number 5: total magnetic moment 0.00 μB/cell, E_form (uncorrected) -1.898 eV per atom. Number 6: total magnetic moment 1.91 μB/cell, E_form (uncorrected) -1.733 eV per atom.